Entry 1:
VASP calculation (PBE) on PmDy6Te8 after structural relaxation.

```
15
Lattice="-4.5886 4.2800 5.2405 -6.3145 -4.4745 2.6349 1.2521 -2.5304 7.6724" Properties=species:S:1:pos:R:3 pbc="T T T"
Dy -6.5369 -4.1879 8.2410
Dy -3.1141 1.4630 7.3068
Dy -6.3466 -1.3649 4.8046
Dy -7.2978 0.7088 8.6269
Dy -3.3044 -1.3601 10.7432
Dy -2.3532 -3.4338 6.9209
Te -8.3279 -1.8161 7.1267
Te -3.1297 -0.8837 5.0419
Te -3.7179 -4.2751 9.5573
Te -4.5433 1.4074 10.0408
Te -5.1078 -4.1324 5.5070
Te -5.9332 1.5502 5.9905
Te -6.5214 -1.8413 10.5059
Te -1.3232 -0.9088 8.4211
Pm 0.0000 0.0000 0.0000
```

Its formation energy from raw total energies is -1.24 eV per atom. The value obtained for the energy above the most stable polymorph in this dataset is 0.135 eV per atom.


Entry 2:
VASP calculation (PBE) on AsP2H2 after structural relaxation.

```
20
Lattice="3.9811 0.0000 -3.7899 0.0000 14.7297 0.0000 -2.1631 0.0000 8.5835" Properties=species:S:1:pos:R:3 pbc="T T T"
H 1.4658 10.1130 -0.0716
H 0.2468 9.4342 2.5078
H -1.6384 2.7482 6.7601
H 1.5711 5.2955 2.2857
H 3.4563 11.9816 -1.9666
H 0.3522 4.6167 4.8652
H 2.2373 12.6604 0.6129
H -0.4194 2.0694 4.1807
P 0.9429 7.0295 0.2735
P 2.2600 1.5349 0.1163
P 0.8750 7.7002 4.5201
P -0.4421 13.1948 4.6772
P 0.2695 5.8299 2.0113
P 2.9334 0.3354 -1.6215
P -1.1155 14.3944 6.4150
P 1.5484 8.8998 2.7822
As 0.3470 11.1860 5.6860
As 3.4615 3.8211 -2.7874
As 1.4709 3.5437 -0.8925
As -1.6435 10.9086 7.5810
```

The value obtained for the raw total energy is -4.29 eV per atom.


Entry 3:
VASP calculation (PBE) on SrCr3Ga after structural relaxation.

```
5
Lattice="5.8454 0.0000 0.0000 0.0000 5.8454 0.0000 0.0000 0.0000 5.8454" Properties=species:S:1:pos:R:3 pbc="T T T"
Sr 0.0000 0.0000 0.0000
Ga 2.9227 2.9227 2.9227
Cr 2.9227 0.0000 0.0000
Cr 0.0000 2.9227 0.0000
Cr 0.0000 0.0000 2.9227
```

The value obtained for the energy above the most stable polymorph in this dataset is 1.344 eV per atom. As for the formation energy: 2200 meV/atom.


Entry 4:
VASP calculation (PBE) on SrTmAl2Ag5 after structural relaxation.

```
9
Lattice="-2.4792 0.0156 -3.9888 3.9547 -0.6033 -2.4604 -0.9801 -8.7688 0.5749" Properties=species:S:1:pos:R:3 pbc="T T T"
Ag -1.4920 -2.2506 -1.8463
Ag 1.7249 -2.5600 -1.0821
Ag 1.2497 -6.8120 -0.8034
Ag -1.9673 -6.5026 -1.5676
Ag 0.2477 -4.6782 -2.9371
Sr -0.4900 -4.3844 0.2874
Al 0.5970 -1.5533 -3.1420
Al -0.1016 -7.8032 -2.7323
Tm 0.0000 0.0000 0.0000
```

As for the formation energy: -143 meV/atom.


Entry 5:
VASP calculation (PBE) on TaSb8 after structural relaxation.

```
9
Lattice="-4.9653 4.9653 2.3884 4.9653 -4.9653 2.3884 4.9653 4.9653 -2.3884" Properties=species:S:1:pos:R:3 pbc="T T T"
Ta 0.0000 0.0000 0.0000
Sb -1.5254 1.5254 2.3884
Sb 1.5254 -1.5254 2.3884
Sb 0.0000 3.1005 0.0000
Sb 0.0000 6.8301 0.0000
Sb 3.4399 3.4399 0.0000
Sb 3.1005 0.0000 0.0000
Sb 1.5254 1.5254 2.3884
Sb 6.8301 0.0000 0.0000
```

Its formation energy from raw total energies is 0.32 eV per atom.


Entry 6:
VASP calculation (PBE) on KLa2SbW after structural relaxation.

```
5
Lattice="-3.9965 3.5784 -1.7803 -2.4880 -4.0648 -2.5848 -3.0407 -1.0884 4.6385" Properties=species:S:1:pos:R:3 pbc="T T T"
K -4.7627 -0.7874 0.1367
La -1.9983 1.7892 -0.8901
La -1.5204 -0.5442 2.3193
Sb -1.2440 -2.0324 -1.2924
W 0.0000 0.0000 0.0000
```

Its formation energy from raw total energies is 0.23 eV per atom.